Sc4CuNi2Pd: optimized geometry, PBE.

POSCAR file:
```
Sc4CuNi2Pd
1.0
2.284 1.319 7.464
-2.284 1.319 7.464
0.000 -2.638 7.464
Sc Cu Ni Pd
4 1 2 1
Direct
0.124 0.124 0.124
0.374 0.374 0.374
0.626 0.626 0.626
0.876 0.876 0.876
0.000 0.000 0.000
0.249 0.249 0.249
0.751 0.751 0.751
0.500 0.500 0.500
```

Values from the calculation:
Energy relative to the elements = -0.540 eV/atom
VASP energy = -6.313 eV per atom

CaLa2P: optimized geometry, PBE.

POSCAR file:
```
CaLa2P
1.0
7.512 0.000 0.000
0.000 7.512 0.000
0.000 0.000 7.512
Ca La P
4 8 4
Direct
0.000 0.000 0.000
0.000 0.500 0.500
0.500 0.000 0.500
0.500 0.500 0.000
0.000 0.000 0.500
0.000 0.500 0.000
0.250 0.250 0.750
0.250 0.750 0.250
0.500 0.000 0.000
0.500 0.500 0.500
0.750 0.250 0.250
0.750 0.750 0.750
0.250 0.250 0.250
0.250 0.750 0.750
0.750 0.250 0.750
0.750 0.750 0.250
```

Values from the calculation:
Energy relative to the elements = -0.026 eV/atom
VASP energy = -4.343 eV per atom

K2ScAuBr6: optimized geometry, PBE.

POSCAR file:
```
K2ScAuBr6
1.0
0.000 5.494 5.494
5.494 0.000 5.494
5.494 5.494 0.000
K Sc Au Br
2 1 1 6
Direct
0.250 0.250 0.250
0.750 0.750 0.750
0.000 0.000 0.000
0.500 0.500 0.500
0.242 0.242 0.758
0.242 0.758 0.242
0.242 0.758 0.758
0.758 0.242 0.242
0.758 0.242 0.758
0.758 0.758 0.242
```

Values from the calculation:
Energy above the lowest structure with this stoichiometry = 86 meV/atom
VASP energy = -3.490 eV per atom
Formation energy from raw total energies = -1306 meV per atom

Sm3DyTm: optimized geometry, PBE.

POSCAR file:
```
Sm3DyTm
1.0
5.782 0.000 0.000
0.000 7.108 0.000
-2.893 0.000 8.143
Sm Dy Tm
6 2 2
Direct
0.115 0.250 0.230
0.310 0.000 0.621
0.310 0.500 0.621
0.690 0.000 0.379
0.690 0.500 0.379
0.885 0.750 0.770
0.116 0.750 0.232
0.884 0.250 0.768
0.499 0.750 0.999
0.501 0.250 0.001
```

Values from the calculation:
Energy relative to the elements = 0.130 eV/atom
Energy above the lowest structure with this stoichiometry = 111 meV/atom
VASP energy = -4.516 eV per atom

Pu2Co2Pt: optimized geometry, PBE.

POSCAR file:
```
Pu2Co2Pt
1.0
4.345 0.000 0.000
0.000 5.205 0.000
0.000 0.000 7.911
Pu Co Pt
4 4 2
Direct
0.000 0.000 0.206
0.000 0.000 0.794
0.500 0.500 0.294
0.500 0.500 0.706
0.000 0.273 0.500
0.000 0.727 0.500
0.500 0.227 0.000
0.500 0.773 0.000
0.000 0.500 0.000
0.500 0.000 0.500
```

Values from the calculation:
Energy relative to the elements = -0.330 eV/atom
VASP energy = -10.114 eV per atom

BiMoH2Os: optimized geometry, PBE.

POSCAR file:
```
BiMoH2Os
1.0
3.771 0.000 0.000
0.000 3.771 0.000
0.000 0.000 5.679
Bi Mo H Os
1 1 2 1
Direct
0.000 0.000 0.000
0.000 0.000 0.500
0.000 0.500 0.500
0.500 0.000 0.500
0.500 0.500 0.000
```

Values from the calculation:
VASP energy = -5.210 eV per atom

Na4Ac3NpS8: optimized geometry, PBE.

POSCAR file:
```
Na4Ac3NpS8
1.0
4.295 2.480 6.705
-4.295 2.480 6.705
0.000 -4.960 6.705
Na Ac Np S
4 3 1 8
Direct
0.000 0.000 0.000
0.000 0.500 0.500
0.500 0.000 0.500
0.500 0.500 0.000
0.000 0.000 0.500
0.000 0.500 0.000
0.500 0.000 0.000
0.500 0.500 0.500
0.248 0.248 0.248
0.259 0.738 0.738
0.262 0.262 0.741
0.262 0.741 0.262
0.738 0.259 0.738
0.738 0.738 0.259
0.741 0.262 0.262
0.752 0.752 0.752
```

Values from the calculation:
VASP energy = -5.650 eV per atom
Formation energy from raw total energies = -1677 meV per atom

LaTb4Ce: optimized geometry, PBE.

POSCAR file:
```
LaTb4Ce
1.0
11.492 0.000 0.000
0.000 3.375 0.000
-5.394 0.000 10.150
La Tb Ce
2 8 2
Direct
0.000 0.000 0.000
0.500 0.500 0.000
0.157 0.500 0.837
0.159 0.000 0.346
0.341 0.500 0.654
0.343 0.000 0.163
0.657 0.000 0.837
0.659 0.500 0.346
0.841 0.000 0.654
0.843 0.500 0.163
0.000 0.500 0.500
0.500 0.000 0.500
```

Values from the calculation:
Energy relative to the elements = 0.219 eV/atom
VASP energy = -4.678 eV per atom